(1)
The following is a GGA-PBE calculation of an optimized crystal structure of CePm2Si, from Alexandria.

As for the size of the total moment: 0.00 μB per cell. As for the energy above the most stable polymorph in this dataset: 32 meV/atom.

Cell: 4.7723 4.7723 4.5251 Å, 90.00 90.00 90.00°
Space group P4/mmm (No. 123)
Symmetry-distinct sites (fractional):
Ce1 0.0000 0.0000 0.0000 [1 per cell]
Pm1 0.0000 0.5000 0.5000 [2 per cell]
Si1 0.5000 0.5000 0.0000 [1 per cell]

=====

(2)
The following is a GGA-PBE calculation of an optimized crystal structure of CePm12Si7, from Alexandria.

As for the size of the total moment: 3.55 μB per cell.

Cell: 15.0091 15.0091 8.6185 Å, 90.00 90.00 120.00°
Space group R-3m (No. 166, hexagonal axes)
Symmetry-distinct sites (fractional):
Ce1 0.0000 0.0000 0.0000 [3 per cell]
Pm1 0.0000 0.2668 0.0000 [18 per cell]
Pm2 0.1008 0.2017 0.3688 [18 per cell]
Si1 0.0000 0.0000 0.5000 [3 per cell]
Si2 0.1111 0.2223 0.7561 [18 per cell]

=====

(3)
The following is a GGA-PBE calculation of an optimized crystal structure of Ce2PmSi, from Alexandria.

As for the size of the total moment: 1.20 μB per cell. As for the energy above the most stable polymorph in this dataset: 102 meV/atom.

Cell: 4.5168 4.5168 4.8588 Å, 90.00 90.00 90.00°
Space group P4/mmm (No. 123)
Symmetry-distinct sites (fractional):
Ce1 0.0000 0.5000 0.0000 [2 per cell]
Pm1 0.0000 0.0000 0.5000 [1 per cell]
Si1 0.5000 0.5000 0.5000 [1 per cell]

=====

(4)
The following is a GGA-PBE calculation of an optimized crystal structure of Ce2PmSi, from Alexandria.

As for the size of the total moment: 0.53 μB per cell. As for the energy above the most stable polymorph in this dataset: 299 meV/atom.

Cell: 3.8067 3.8067 28.5565 Å, 90.00 90.00 120.00°
Space group R3m (No. 160, hexagonal axes)
Symmetry-distinct sites (fractional):
Ce1 0.0000 0.0000 0.0000 [3 per cell]
Ce2 0.0000 0.0000 0.2039 [3 per cell]
Pm1 0.0000 0.0000 0.4356 [3 per cell]
Si1 0.0000 0.0000 0.6018 [3 per cell]

=====

(5)
The following is a GGA-PBE calculation of an optimized crystal structure of Ce4Pm3Si4, from Alexandria.

As for the size of the total moment: 3.83 μB per cell.

Cell: 3.8713 8.4877 17.2801 Å, 90.00 90.00 90.00°
Space group Immm (No. 71)
Symmetry-distinct sites (fractional):
Ce1 0.0000 0.1642 0.1712 [8 per cell]
Pm1 0.0000 0.0000 0.4050 [4 per cell]
Pm2 0.0000 0.5000 0.5000 [2 per cell]
Si1 0.0000 0.2761 0.0000 [4 per cell]
Si2 0.0000 0.5000 0.2261 [4 per cell]

=====

(6)
The following is a GGA-PBE calculation of an optimized crystal structure of CePm2Si, from Alexandria.

As for the size of the total moment: 0.01 μB per cell. As for the energy above the most stable polymorph in this dataset: 78 meV/atom.

Cell: 3.8650 3.8650 7.0403 Å, 90.00 90.00 90.00°
Space group P4/mmm (No. 123)
Symmetry-distinct sites (fractional):
Ce1 0.0000 0.0000 0.0000 [1 per cell]
Pm1 0.5000 0.5000 0.2873 [2 per cell]
Si1 0.0000 0.0000 0.5000 [1 per cell]

=====

Formation energy (no corrections) in eV/f.u., matching the order above: -1.03; -7.47; -1.15; -0.36; -5.47; -0.85
VASP energy in Ry/atom, matching the order above: -0.40215; -0.39827; -0.42606; -0.41162; -0.43533; -0.39880